--- a ---
Below is a relaxed LiTb2Ag6 crystal, with properties calculated at the PBE level.

Lattice parameters (Å, degrees): 6.1926 6.1926 5.5753 90.00 90.00 120.00
Last column: nearest neighbours and their distance in Å.
Atoms (fractional coordinates):
Li  0.0000  0.0000  0.0000  6 Ag 2.57
Tb  0.3333  0.6667  0.8286  12 Ag 3.16-3.34
Tb  0.6667  0.3333  0.1714  12 Ag 3.16-3.34
Ag  0.1779  0.3558  0.3098  1 Li 2.57, 2 Ag 2.85
Ag  0.1779  0.8221  0.3098  1 Li 2.57, 2 Ag 2.85
Ag  0.3558  0.1779  0.6902  1 Li 2.57, 2 Ag 2.85
Ag  0.6442  0.8221  0.3098  1 Li 2.57, 2 Ag 2.85
Ag  0.8221  0.1779  0.6902  1 Li 2.57, 2 Ag 2.85
Ag  0.8221  0.6442  0.6902  1 Li 2.57, 2 Ag 2.85

Properties
N(E_F) (states/eV per atom): 0.529
V (Å³/cell): 185.2

=====

--- b ---
Below is a relaxed LiTb2Ag6 crystal, with properties calculated at the PBE level.

Lattice parameters (Å, degrees): 8.3128 8.3128 3.2199 90.09 90.09 60.02
Last column: nearest neighbours and their distance in Å.
Atoms (fractional coordinates):
Li  0.0000  0.0000  0.0000  12 Ag 3.18-3.19, 2 Li 3.22
Tb  0.3333  0.3333  0.0000  12 Ag 3.21-3.22, 2 Tb 3.22
Tb  0.6667  0.6667  0.0000  12 Ag 3.21-3.22, 2 Tb 3.22
Ag  0.0000  0.3305  0.4988  3 Ag 2.75-2.82
Ag  0.0000  0.6695  0.5012  3 Ag 2.75-2.82
Ag  0.3305  0.0000  0.4988  3 Ag 2.75-2.82
Ag  0.3306  0.6694  0.5000  3 Ag 2.75-2.82
Ag  0.6695  0.0000  0.5012  3 Ag 2.75-2.82
Ag  0.6694  0.3306  0.5000  3 Ag 2.75-2.82

Properties
N(E_F) (states/eV per atom): 0.635
V (Å³/cell): 192.7

=====

Q: Which of them is the most stable? A: a.

=====

--- a ---
Below is a relaxed LiTbAg2 crystal, with properties calculated at the PBE level.

Lattice parameters (Å, degrees): 4.8043 6.5894 5.2710 90.00 90.00 90.00
Last column: nearest neighbours and their distance in Å.
Atoms (fractional coordinates):
Li  0.2500  0.2500  0.2479  6 Ag 2.81-2.90
Li  0.7500  0.7500  0.7521  6 Ag 2.81-2.90
Tb  0.2500  0.7500  0.3295  8 Ag 3.06-3.08, 4 Li 3.28-3.32
Tb  0.7500  0.2500  0.6705  8 Ag 3.06-3.08, 4 Li 3.28-3.32
Ag  0.2500  0.5109  0.8270  3 Li 2.81-2.90, 2 Ag 3.02, 4 Tb 3.06-3.08
Ag  0.2500  0.9891  0.8270  3 Li 2.81-2.90, 2 Ag 3.02, 4 Tb 3.06-3.08
Ag  0.7500  0.0109  0.1730  3 Li 2.81-2.90, 2 Ag 3.02, 4 Tb 3.06-3.08
Ag  0.7500  0.4891  0.1730  3 Li 2.81-2.90, 2 Ag 3.02, 4 Tb 3.06-3.08

Properties
N(E_F) (states/eV per atom): 0.592
V (Å³/cell): 166.9

=====

--- b ---
Below is a relaxed LiTbAg2 crystal, with properties calculated at the PBE level.

Lattice parameters (Å, degrees): 5.2512 5.2512 5.2512 52.70 52.70 52.70
Last column: nearest neighbours and their distance in Å.
Atoms (fractional coordinates):
Li  0.0000  0.0000  0.0000  6 Ag 2.80
Tb  0.5000  0.5000  0.5000  8 Ag 3.02-3.08
Ag  0.2769  0.2769  0.2769  3 Li 2.80, 4 Tb 3.02-3.08, 3 Ag 3.09
Ag  0.7231  0.7231  0.7231  3 Li 2.80, 4 Tb 3.02-3.08, 3 Ag 3.09

Properties
N(E_F) (states/eV per atom): 0.674
V (Å³/cell): 84.8

=====

Q: Which of them is the most stable? A: a.